{"formula": "SnBiCl2", "functional": "PBE", "state": "relaxed", "lattice": [[-4.118, 4.118, 3.350], [4.118, -4.118, 3.350], [4.118, 4.118, -3.350]], "species": ["Sn", "Sn", "Bi", "Bi", "Cl", "Cl", "Cl", "Cl"], "fractional_positions": [[0.000, 0.000, 0.000], [0.750, 0.250, 0.500], [0.250, 0.750, 0.500], [0.500, 0.500, 0.000], [0.119, 0.625, 0.994], [0.375, 0.369, 0.494], [0.631, 0.125, 0.006], [0.875, 0.881, 0.506]], "magmom_total_mub_per_cell": 0.0, "n_ef_per_ev_cell": 3.81, "de_polymorph_ev_per_fu": 0.74, "formation_energy_uncorrected_mev_per_atom": -281}